No. 1
First-principles (PBE-GGA) data for a relaxed structure of AgHgBr, as listed in the Alexandria database.

abc: 6.4501 6.4501 6.4501
angles: 147.58 147.58 46.51
Last column: nearest neighbours and their distance in Å.
Atoms (fractional coordinates):
Br: 0.3612 0.3612 0.0000  4 Ag 2.95
Hg: 0.6523 0.6523 0.0000  4 Ag 3.22, 5 Br 3.45-3.55, 4 Hg 3.60
Ag: 0.9865 0.9865 0.0000  4 Br 2.95, 4 Hg 3.22

Properties
For the uncorrected formation energy, the calculation gives -0.0666 eV per atom. As for the magnetic moment: 0.000 μB/atom. As for the crystal system: tetragonal. For the total energy, the calculation gives -1.68 eV/atom.

---

No. 2
First-principles (PBE-GGA) data for a relaxed structure of AgHgBr2, as listed in the Alexandria database.

abc: 4.1349 7.3051 4.0153
angles: 90.00 90.00 90.00
Last column: nearest neighbours and their distance in Å.
Atoms (fractional coordinates):
Hg: 0.5000 0.0000 0.5000  4 Br 2.88
Br: 0.0000 0.0000 0.0000  4 Hg 2.88
Br: 0.5000 0.5000 0.0000  4 Ag 2.88
Ag: 0.0000 0.5000 0.5000  4 Br 2.88

Properties
For the uncorrected formation energy, the calculation gives -0.1561 eV per atom. As for the magnetic moment: 0.000 μB/atom. As for the crystal system: orthorhombic. For the total energy, the calculation gives -1.78 eV/atom.

---

No. 3
First-principles (PBE-GGA) data for a relaxed structure of Ag5HgBr8, as listed in the Alexandria database.

abc: 8.0812 8.0812 8.0812
angles: 105.58 105.58 117.58
Last column: nearest neighbours and their distance in Å.
Atoms (fractional coordinates):
Br: 0.6802 0.8715 0.3135  4 Ag 2.73-2.89
Br: 0.0879 0.8793 0.7130  1 Hg 2.70, 3 Ag 2.87-3.02
Br: 0.5580 0.3667 0.6865  4 Ag 2.73-2.89
Br: 0.1663 0.3749 0.2870  1 Hg 2.70, 3 Ag 2.87-3.02
Br: 0.1285 0.4420 0.8087  4 Ag 2.73-2.89
Br: 0.6251 0.9121 0.7913  1 Hg 2.70, 3 Ag 2.87-3.02
Br: 0.1207 0.8337 0.2087  1 Hg 2.70, 3 Ag 2.87-3.02
Br: 0.6333 0.3198 0.1913  4 Ag 2.73-2.89
Ag: 0.5000 0.5000 0.0000  4 Br 2.73
Ag: 0.8589 0.3615 0.9721  6 Br 2.76-3.02
Ag: 0.3895 0.8868 0.0279  6 Br 2.76-3.02
Ag: 0.1132 0.1411 0.5027  6 Br 2.76-3.02
Ag: 0.6385 0.6105 0.4973  6 Br 2.76-3.02
Hg: 0.2500 0.7500 0.5000  4 Br 2.70

Properties
For the uncorrected formation energy, the calculation gives -0.3101 eV per atom. As for the magnetic moment: 0.000 μB/atom. As for the crystal system: tetragonal. For the total energy, the calculation gives -2.31 eV/atom.

---

No. 4
First-principles (PBE-GGA) data for a relaxed structure of Ag2HgBr, as listed in the Alexandria database.

abc: 5.0426 5.0426 5.0426
angles: 60.00 60.00 60.00
Last column: nearest neighbours and their distance in Å.
Atoms (fractional coordinates):
Hg: 0.5000 0.5000 0.5000  8 Ag 3.09
Br: 0.0000 0.0000 0.0000  8 Ag 3.09
Ag: 0.2500 0.2500 0.2500  4 Hg 3.09, 4 Br 3.09
Ag: 0.7500 0.7500 0.7500  4 Hg 3.09, 4 Br 3.09

Properties
For the uncorrected formation energy, the calculation gives 0.1171 eV per atom. As for the magnetic moment: 0.000 μB/atom. As for the crystal system: cubic. For the total energy, the calculation gives -1.80 eV/atom.

---

No. 5
First-principles (PBE-GGA) data for a relaxed structure of AgHgBr2, as listed in the Alexandria database.

abc: 4.1486 4.1486 6.6605
angles: 90.00 90.00 90.00
Last column: nearest neighbours and their distance in Å.
Atoms (fractional coordinates):
Br: 0.0000 0.0000 0.8891  4 Ag 2.96, 1 Hg 3.25
Br: 0.5000 0.5000 0.4003  1 Ag 2.89, 4 Hg 2.94
Hg: 0.0000 0.0000 0.3766  5 Br 2.94-3.25
Ag: 0.5000 0.5000 0.8339  5 Br 2.89-2.96

Properties
For the uncorrected formation energy, the calculation gives -0.2061 eV per atom. As for the magnetic moment: 0.000 μB/atom. As for the crystal system: tetragonal. For the total energy, the calculation gives -1.83 eV/atom.

---

No. 6
First-principles (PBE-GGA) data for a relaxed structure of AgHgBr2, as listed in the Alexandria database.

abc: 6.5887 6.5887 8.0577
angles: 65.87 65.87 90.00
Last column: nearest neighbours and their distance in Å.
Atoms (fractional coordinates):
Br: 0.8750 0.8439 0.7500  2 Ag 2.74, 2 Hg 2.97
Br: 0.1561 0.6250 0.2500  2 Ag 2.74, 2 Hg 2.97
Br: 0.3750 0.4061 0.7500  2 Ag 2.74, 2 Hg 2.97
Br: 0.5939 0.1250 0.2500  2 Ag 2.74, 2 Hg 2.97
Hg: 0.7500 0.2500 0.5000  4 Br 2.97
Hg: 0.0000 0.0000 0.0000  4 Br 2.97
Ag: 0.2500 0.7500 0.5000  4 Br 2.74
Ag: 0.5000 0.5000 0.0000  4 Br 2.74

Properties
For the uncorrected formation energy, the calculation gives -0.2015 eV per atom. As for the magnetic moment: 0.000 μB/atom. As for the crystal system: tetragonal. For the total energy, the calculation gives -1.83 eV/atom.

---

No. 7
First-principles (PBE-GGA) data for a relaxed structure of Ag2HgBr, as listed in the Alexandria database.

abc: 5.8206 5.8206 5.8206
angles: 146.52 114.09 75.98
Last column: nearest neighbours and their distance in Å.
Atoms (fractional coordinates):
Ag: 0.5024 0.5024 0.0000  2 Br 2.82, 2 Hg 2.86
Ag: 0.9976 0.9976 0.0000  2 Br 2.82, 2 Hg 2.86
Hg: 0.2500 0.7500 0.5000  4 Ag 2.86
Br: 0.7500 0.2500 0.5000  4 Ag 2.82

Properties
For the uncorrected formation energy, the calculation gives 0.0544 eV per atom. As for the magnetic moment: 0.000 μB/atom. As for the crystal system: orthorhombic. For the total energy, the calculation gives -1.86 eV/atom.

---

No. 8
First-principles (PBE-GGA) data for a relaxed structure of Ag2HgBr, as listed in the Alexandria database.

abc: 3.6727 3.6755 6.7052
angles: 90.00 90.00 90.00
Last column: nearest neighbours and their distance in Å.
Atoms (fractional coordinates):
Hg: 0.5000 0.5000 0.7500  8 Ag 2.98
Ag: 0.0000 0.0000 0.9663  1 Ag 2.90, 4 Hg 2.98, 4 Br 3.22
Ag: 0.0000 0.0000 0.5337  1 Ag 2.90, 4 Hg 2.98, 4 Br 3.22
Br: 0.5000 0.5000 0.2500  8 Ag 3.22, 2 Hg 3.35

Properties
For the uncorrected formation energy, the calculation gives 0.0170 eV per atom. As for the magnetic moment: 0.000 μB/atom. As for the crystal system: tetragonal. For the total energy, the calculation gives -1.90 eV/atom.

---

No. 9
First-principles (PBE-GGA) data for a relaxed structure of Ag2HgBr, as listed in the Alexandria database.

abc: 5.1569 5.1569 8.3875
angles: 53.40 53.40 40.71
Last column: nearest neighbours and their distance in Å.
Atoms (fractional coordinates):
Hg: 0.2500 0.2500 0.2500  6 Ag 2.90-2.98
Br: 0.7500 0.7500 0.7500  4 Ag 2.82
Ag: 0.0608 0.0608 0.0861  2 Br 2.82, 2 Ag 2.84, 3 Hg 2.90-2.98
Ag: 0.4392 0.4392 0.4139  2 Br 2.82, 2 Ag 2.84, 3 Hg 2.90-2.98

Properties
For the uncorrected formation energy, the calculation gives -0.0686 eV per atom. As for the magnetic moment: 0.000 μB/atom. As for the crystal system: monoclinic. For the total energy, the calculation gives -1.99 eV/atom.

---

No. 10
First-principles (PBE-GGA) data for a relaxed structure of Ag2HgBr, as listed in the Alexandria database.

abc: 8.7995 8.7995 8.7995
angles: 23.32 23.32 23.32
Last column: nearest neighbours and their distance in Å.
Atoms (fractional coordinates):
Ag: 0.2510 0.2510 0.2510  3 Br 2.81, 3 Ag 2.86
Ag: 0.9954 0.9954 0.9954  3 Ag 2.86, 3 Hg 2.94
Hg: 0.7442 0.7442 0.7442  3 Ag 2.94, 3 Br 3.26
Br: 0.5095 0.5095 0.5095  3 Ag 2.81

Properties
For the uncorrected formation energy, the calculation gives 0.0323 eV per atom. As for the magnetic moment: 0.000 μB/atom. As for the crystal system: trigonal. For the total energy, the calculation gives -1.89 eV/atom.

---

No. 11
First-principles (PBE-GGA) data for a relaxed structure of AgHg4Br, as listed in the Alexandria database.

abc: 6.1527 6.1527 6.1527
angles: 60.00 60.00 60.00
Last column: nearest neighbours and their distance in Å.
Atoms (fractional coordinates):
Hg: 0.8744 0.3752 0.3752  6 Hg 3.07-3.08
Hg: 0.3752 0.3752 0.8744  6 Hg 3.07-3.08
Hg: 0.3752 0.3752 0.3752  6 Hg 3.07-3.08
Hg: 0.3752 0.8744 0.3752  6 Hg 3.07-3.08
Br: 0.0000 0.0000 0.0000  12 Hg 3.61, 4 Ag 3.77
Ag: 0.7500 0.7500 0.7500  12 Hg 3.61, 4 Br 3.77

Properties
For the uncorrected formation energy, the calculation gives 0.1557 eV per atom. As for the magnetic moment: 0.000 μB/atom. As for the crystal system: cubic. For the total energy, the calculation gives -0.80 eV/atom.

---

No. 12
First-principles (PBE-GGA) data for a relaxed structure of Ag3HgBr4, as listed in the Alexandria database.

abc: 4.5104 4.5104 15.3950
angles: 81.59 81.59 59.99
Last column: nearest neighbours and their distance in Å.
Atoms (fractional coordinates):
Ag: 0.4997 0.4997 0.5009  4 Br 2.74
Ag: 0.7540 0.7540 0.7383  4 Br 2.74
Ag: 0.2460 0.2460 0.2618  4 Br 2.70-2.75
Br: 0.8141 0.8141 0.5576  4 Ag 2.74
Br: 0.3053 0.3053 0.0841  1 Ag 2.70, 3 Hg 2.95
Br: 0.0686 0.0686 0.7945  3 Ag 2.74, 1 Hg 3.00
Br: 0.5598 0.5598 0.3206  4 Ag 2.74-2.75
Hg: 0.0026 0.0026 0.9923  4 Br 2.95-3.00

Properties
For the uncorrected formation energy, the calculation gives -0.2619 eV per atom. As for the magnetic moment: 0.000 μB/atom. As for the crystal system: trigonal. For the total energy, the calculation gives -2.21 eV/atom.

---

Copy entry 1 word for word.
First-principles (PBE-GGA) data for a relaxed structure of AgHgBr, as listed in the Alexandria database.

abc: 6.4501 6.4501 6.4501
angles: 147.58 147.58 46.51
Last column: nearest neighbours and their distance in Å.
Atoms (fractional coordinates):
Br: 0.3612 0.3612 0.0000  4 Ag 2.95
Hg: 0.6523 0.6523 0.0000  4 Ag 3.22, 5 Br 3.45-3.55, 4 Hg 3.60
Ag: 0.9865 0.9865 0.0000  4 Br 2.95, 4 Hg 3.22

Properties
For the uncorrected formation energy, the calculation gives -0.0666 eV per atom. As for the magnetic moment: 0.000 μB/atom. As for the crystal system: tetragonal. For the total energy, the calculation gives -1.68 eV/atom.